1.
Below is a relaxed NaTlReBr6 crystal, with properties calculated at the PBE level.

a = 7.3543 Å, b = 7.3543 Å, c = 13.5915 Å
α = 90.00°, β = 90.00°, γ = 120.00°
Positions (direct):
Na 0.3333 0.6667 0.2500
Na 0.6667 0.3333 0.7500
Tl 0.0000 0.0000 0.0000
Tl 0.0000 0.0000 0.5000
Re 0.3333 0.6667 0.7500
Re 0.6667 0.3333 0.2500
Br 0.0461 0.3934 0.6410
Br 0.0461 0.6527 0.8590
Br 0.3473 0.3934 0.8590
Br 0.3473 0.9539 0.6410
Br 0.3934 0.0461 0.1410
Br 0.3934 0.3473 0.3590
Br 0.6066 0.6527 0.6410
Br 0.6066 0.9539 0.8590
Br 0.6527 0.0461 0.3590
Br 0.6527 0.6066 0.1410
Br 0.9539 0.3473 0.1410
Br 0.9539 0.6066 0.3590

Properties
Total magnetic moment: 3.00 μB/f.u.
Formation energy (no corrections): -0.686 eV per atom

2.
Below is a relaxed Na2ZnReBr crystal, with properties calculated at the PBE level.

a = 5.9197 Å, b = 5.9197 Å, c = 4.6752 Å
α = 90.00°, β = 90.00°, γ = 90.00°
Positions (direct):
Na 0.0000 0.5000 0.0000
Na 0.5000 0.0000 0.0000
Zn 0.0000 0.0000 0.5000
Re 0.5000 0.5000 0.0000
Br 0.5000 0.5000 0.5000

Properties
Total magnetic moment: 1.03 μB/f.u.
Formation energy (no corrections): 0.895 eV per atom

3.
Below is a relaxed NaRhBr6 crystal, with properties calculated at the PBE level.

a = 7.6677 Å, b = 7.6677 Å, c = 7.6677 Å
α = 60.00°, β = 60.00°, γ = 60.00°
Positions (direct):
Na 0.0000 0.0000 0.0000
Rh 0.5000 0.5000 0.5000
Br 0.2714 0.2714 0.7286
Br 0.2714 0.7286 0.2714
Br 0.2714 0.7286 0.7286
Br 0.7286 0.2714 0.2714
Br 0.7286 0.2714 0.7286
Br 0.7286 0.7286 0.2714

Properties
Total magnetic moment: 2.12 μB/f.u.
Formation energy (no corrections): -0.325 eV per atom

4.
Below is a relaxed NaRhBr2 crystal, with properties calculated at the PBE level.

a = 8.7240 Å, b = 8.7240 Å, c = 8.7240 Å
α = 26.20°, β = 26.20°, γ = 26.20°
Positions (direct):
Na 0.0000 0.0000 0.0000
Rh 0.5000 0.5000 0.5000
Br 0.4035 0.4035 0.4035
Br 0.5965 0.5965 0.5965

Properties
Total magnetic moment: 2.00 μB/f.u.
Formation energy (no corrections): -0.255 eV per atom
Distance to the lowest polymorph of the same formula: 111 meV per atom

Among the records above, which one has the lowest total magnetic moment? Na2ZnReBr

Number 2 is which compound? Na2ZnReBr

Which formula does entry 3 have? NaRhBr6